(1)
SrMg5 | meta-GGA SCAN | PBEsol geometry

abc: 6.1020 6.1020 6.1020
angles: 60.00 60.00 60.00
Fractional coordinates of all 6 atoms:
Sr: 0.0000 0.0000 0.0000
Mg: 0.1263 0.6246 0.6246
Mg: 0.2500 0.2500 0.2500
Mg: 0.6246 0.1263 0.6246
Mg: 0.6246 0.6246 0.1263
Mg: 0.6246 0.6246 0.6246

Space group ... No. 216
Crystal system ... cubic

(2)
Sr3Mg | meta-GGA SCAN | PBEsol geometry

abc: 7.8745 7.8745 6.3713
angles: 90.00 90.00 120.00
Fractional coordinates of all 8 atoms:
Sr: 0.1711 0.3421 0.2500
Sr: 0.1711 0.8289 0.2500
Sr: 0.3421 0.1711 0.7500
Sr: 0.6579 0.8289 0.2500
Sr: 0.8289 0.1711 0.7500
Sr: 0.8289 0.6579 0.7500
Mg: 0.3333 0.6667 0.7500
Mg: 0.6667 0.3333 0.2500

Space group ... No. 194
Crystal system ... hexagonal

(3)
Sr4Mg | meta-GGA SCAN | PBEsol geometry

abc: 8.0271 8.0271 8.0271
angles: 90.00 90.00 90.00
Fractional coordinates of all 10 atoms:
Sr: 0.2500 0.2500 0.2500
Sr: 0.2500 0.2500 0.7500
Sr: 0.2500 0.7500 0.2500
Sr: 0.2500 0.7500 0.7500
Sr: 0.7500 0.2500 0.2500
Sr: 0.7500 0.2500 0.7500
Sr: 0.7500 0.7500 0.2500
Sr: 0.7500 0.7500 0.7500
Mg: 0.0000 0.0000 0.0000
Mg: 0.5000 0.5000 0.5000

Space group ... No. 229
Crystal system ... cubic

(4)
Sr6Mg23 | meta-GGA SCAN | PBEsol geometry

abc: 10.4500 10.4500 10.4500
angles: 60.00 60.00 60.00
Fractional coordinates of all 29 atoms:
Sr: 0.2065 0.2065 0.7935
Sr: 0.2065 0.7935 0.2065
Sr: 0.2065 0.7935 0.7935
Sr: 0.7935 0.2065 0.2065
Sr: 0.7935 0.2065 0.7935
Sr: 0.7935 0.7935 0.2065
Mg: 0.0000 0.0000 0.5000
Mg: 0.0000 0.5000 0.0000
Mg: 0.0000 0.5000 0.5000
Mg: 0.1359 0.6214 0.6214
Mg: 0.1743 0.1743 0.1743
Mg: 0.1743 0.1743 0.4771
Mg: 0.1743 0.4771 0.1743
Mg: 0.3786 0.3786 0.3786
Mg: 0.3786 0.3786 0.8641
Mg: 0.3786 0.8641 0.3786
Mg: 0.4771 0.1743 0.1743
Mg: 0.5000 0.0000 0.0000
Mg: 0.5000 0.0000 0.5000
Mg: 0.5000 0.5000 0.0000
Mg: 0.5000 0.5000 0.5000
Mg: 0.5229 0.8257 0.8257
Mg: 0.6214 0.1359 0.6214
Mg: 0.6214 0.6214 0.1359
Mg: 0.6214 0.6214 0.6214
Mg: 0.8257 0.5229 0.8257
Mg: 0.8257 0.8257 0.5229
Mg: 0.8257 0.8257 0.8257
Mg: 0.8641 0.3786 0.3786

Space group ... No. 225
Crystal system ... cubic

(5)
SrMg | meta-GGA SCAN | PBEsol geometry

abc: 12.9261 3.8548 6.0866
angles: 90.00 110.67 90.00
Fractional coordinates of all 8 atoms:
Sr: 0.1024 0.0000 0.3257
Sr: 0.3976 0.5000 0.6743
Sr: 0.6024 0.5000 0.3257
Sr: 0.8976 0.0000 0.6743
Mg: 0.1528 0.5000 0.8645
Mg: 0.3472 0.0000 0.1355
Mg: 0.6528 0.0000 0.8645
Mg: 0.8472 0.5000 0.1355

Space group ... No. 12
Crystal system ... monoclinic

(6)
SrMg5 | meta-GGA SCAN | PBEsol geometry

abc: 5.2895 11.3681 5.2371
angles: 90.00 90.00 90.00
Fractional coordinates of all 12 atoms:
Sr: 0.0000 0.0000 0.0000
Sr: 0.5000 0.5000 0.0000
Mg: 0.0000 0.1840 0.5000
Mg: 0.0000 0.3233 0.0000
Mg: 0.0000 0.5000 0.5000
Mg: 0.0000 0.6767 0.0000
Mg: 0.0000 0.8160 0.5000
Mg: 0.5000 0.0000 0.5000
Mg: 0.5000 0.1767 0.0000
Mg: 0.5000 0.3160 0.5000
Mg: 0.5000 0.6840 0.5000
Mg: 0.5000 0.8233 0.0000

Space group ... No. 65
Crystal system ... orthorhombic

(7)
SrMg | meta-GGA SCAN | PBEsol geometry

abc: 4.0159 5.9416 11.8893
angles: 90.00 90.00 90.00
Fractional coordinates of all 8 atoms:
Sr: 0.0000 0.2500 0.1038
Sr: 0.0000 0.7500 0.8962
Sr: 0.5000 0.2500 0.3962
Sr: 0.5000 0.7500 0.6038
Mg: 0.0000 0.2500 0.6529
Mg: 0.0000 0.7500 0.3471
Mg: 0.5000 0.2500 0.8471
Mg: 0.5000 0.7500 0.1529

Space group ... No. 74
Crystal system ... orthorhombic

(8)
Sr3Mg | meta-GGA SCAN | PBEsol geometry

abc: 10.5608 10.5608 11.0154
angles: 90.00 90.00 120.00
Fractional coordinates of all 24 atoms:
Sr: 0.0000 0.0000 0.2491
Sr: 0.0000 0.0000 0.7491
Sr: 0.0000 0.2646 0.0000
Sr: 0.0000 0.3872 0.3405
Sr: 0.0000 0.6128 0.8405
Sr: 0.0000 0.7354 0.5000
Sr: 0.2646 0.0000 0.0000
Sr: 0.2646 0.2646 0.5000
Sr: 0.3333 0.6667 0.1041
Sr: 0.3333 0.6667 0.6041
Sr: 0.3872 0.0000 0.3405
Sr: 0.3872 0.3872 0.8405
Sr: 0.6128 0.0000 0.8405
Sr: 0.6128 0.6128 0.3405
Sr: 0.6667 0.3333 0.1041
Sr: 0.6667 0.3333 0.6041
Sr: 0.7354 0.0000 0.5000
Sr: 0.7354 0.7354 0.0000
Mg: 0.0000 0.3243 0.6704
Mg: 0.0000 0.6757 0.1704
Mg: 0.3243 0.0000 0.6704
Mg: 0.3243 0.3243 0.1704
Mg: 0.6757 0.0000 0.1704
Mg: 0.6757 0.6757 0.6704

Space group ... No. 185
Crystal system ... hexagonal

(9)
SrMg | meta-GGA SCAN | PBEsol geometry

abc: 13.7459 4.0340 8.0410
angles: 90.00 106.17 90.00
Fractional coordinates of all 12 atoms:
Sr: 0.0000 0.0000 0.0000
Sr: 0.0219 0.0000 0.4856
Sr: 0.3075 0.0000 0.6301
Sr: 0.5000 0.5000 0.0000
Sr: 0.5219 0.5000 0.4856
Sr: 0.8075 0.5000 0.6301
Mg: 0.1811 0.5000 0.8687
Mg: 0.1845 0.5000 0.2809
Mg: 0.3212 0.0000 0.1523
Mg: 0.6811 0.0000 0.8687
Mg: 0.6845 0.0000 0.2809
Mg: 0.8212 0.5000 0.1523

Space group ... No. 8
Crystal system ... monoclinic

(10)
SrMg | meta-GGA SCAN | PBEsol geometry

abc: 3.9802 3.9802 9.1577
angles: 90.00 90.00 90.00
Fractional coordinates of all 4 atoms:
Sr: 0.2500 0.2500 0.1753
Sr: 0.7500 0.7500 0.8247
Mg: 0.2500 0.2500 0.5798
Mg: 0.7500 0.7500 0.4202

Space group ... No. 129
Crystal system ... tetragonal

(11)
Sr3Mg | meta-GGA SCAN | PBEsol geometry

abc: 8.7719 8.7719 8.7719
angles: 90.00 90.00 90.00
Fractional coordinates of all 16 atoms:
Sr: 0.0000 0.0000 0.0000
Sr: 0.0000 0.5000 0.5000
Sr: 0.2500 0.2500 0.2500
Sr: 0.2500 0.2500 0.7500
Sr: 0.2500 0.7500 0.2500
Sr: 0.2500 0.7500 0.7500
Sr: 0.5000 0.0000 0.5000
Sr: 0.5000 0.5000 0.0000
Sr: 0.7500 0.2500 0.2500
Sr: 0.7500 0.2500 0.7500
Sr: 0.7500 0.7500 0.2500
Sr: 0.7500 0.7500 0.7500
Mg: 0.0000 0.0000 0.5000
Mg: 0.0000 0.5000 0.0000
Mg: 0.5000 0.0000 0.0000
Mg: 0.5000 0.5000 0.5000

Space group ... No. 225
Crystal system ... cubic

(12)
Sr3Mg | meta-GGA SCAN | PBEsol geometry

abc: 5.6030 5.6030 21.9267
angles: 90.00 90.00 90.00
Fractional coordinates of all 16 atoms:
Sr: 0.0000 0.0000 0.1238
Sr: 0.0000 0.0000 0.8762
Sr: 0.0000 0.5000 0.0000
Sr: 0.0000 0.5000 0.2500
Sr: 0.0000 0.5000 0.5000
Sr: 0.0000 0.5000 0.7500
Sr: 0.5000 0.0000 0.0000
Sr: 0.5000 0.0000 0.2500
Sr: 0.5000 0.0000 0.5000
Sr: 0.5000 0.0000 0.7500
Sr: 0.5000 0.5000 0.3762
Sr: 0.5000 0.5000 0.6238
Mg: 0.0000 0.0000 0.3717
Mg: 0.0000 0.0000 0.6283
Mg: 0.5000 0.5000 0.1283
Mg: 0.5000 0.5000 0.8717

Space group ... No. 139
Crystal system ... tetragonal

no.,ΔE_f (eV/atom)
1,-0.02
2,0.03
3,0.24
4,-0.09
5,-0.02
6,0.03
7,-0.02
8,0.01
9,0.00
10,0.00
11,0.07
12,0.05